# 1
# Er2Hg6Pb, optimized geometry, DFT GGA-PBE
# * magnetic moment: 0.0 Bohr magnetons per cell
# * formation enthalpy at 0 K: -0.2120 eV/atom
# * crystal system: monoclinic
data_Er2Hg6Pb
_space_group_name_H-M_alt 'C 1 2/m 1'
_space_group_IT_number 12
_cell_length_a 15.116
_cell_length_b 8.728
_cell_length_c 3.392
_cell_angle_alpha 90.00
_cell_angle_beta 90.50
_cell_angle_gamma 90.00
loop_
_space_group_symop_operation_xyz
'x,y,z'
'-x,-y,-z'
'-x,y,-z'
'x,-y,z'
'x+1/2,y+1/2,z'
'-x+1/2,-y+1/2,-z'
'-x+1/2,y+1/2,-z'
'x+1/2,-y+1/2,z'
loop_
_atom_site_label
_atom_site_fract_x
_atom_site_fract_y
_atom_site_fract_z
Er1 0.167 0.000 0.000
Hg1 0.000 0.164 0.500
Hg2 0.168 0.332 0.509
Pb1 0.000 0.500 0.000

---

# 2
# Pu2PaS6, optimized geometry, DFT GGA-PBE
# * magnetic moment: 18.0 Bohr magnetons per cell
# * ΔE to the lowest computed polymorph: 0.00 eV/f.u.
# * crystal system: orthorhombic
data_Pu2PaS6
_space_group_name_H-M_alt 'I m m m'
_space_group_IT_number 71
_space_group_name_Hall '-I 2 2'
_cell_length_a 4.580
_cell_length_b 6.480
_cell_length_c 13.702
_cell_angle_alpha 90.00
_cell_angle_beta 90.00
_cell_angle_gamma 90.00
loop_
_atom_site_label
_atom_site_fract_x
_atom_site_fract_y
_atom_site_fract_z
Pu1 0.000 0.000 0.168
Pa1 0.000 0.000 0.500
S1 0.000 0.248 0.336
S2 0.000 0.256 0.000

---

# 3
# TmZnSnPd, optimized geometry, DFT GGA-PBE
# * magnetic moment: 0.0 Bohr magnetons per cell
# * formation enthalpy at 0 K: -0.5931 eV/atom
# * crystal system: cubic
data_TmZnSnPd
_space_group_name_H-M_alt 'F -4 3 m'
_space_group_IT_number 216
_space_group_name_Hall 'F -4 2 3'
_cell_length_a 6.793
_cell_length_b 6.793
_cell_length_c 6.793
_cell_angle_alpha 90.00
_cell_angle_beta 90.00
_cell_angle_gamma 90.00
loop_
_atom_site_label
_atom_site_fract_x
_atom_site_fract_y
_atom_site_fract_z
Tm1 0.000 0.000 0.000
Zn1 0.250 0.250 0.750
Sn1 0.000 0.000 0.500
Pd1 0.250 0.250 0.250

---

# 4
# MgScMn2, optimized geometry, DFT GGA-PBE
# * magnetic moment: 12.4 Bohr magnetons per cell
# * formation enthalpy at 0 K: 0.3210 eV/atom
# * crystal system: monoclinic
data_MgScMn2
_space_group_name_H-M_alt 'C 1 2/m 1'
_space_group_IT_number 12
_cell_length_a 9.454
_cell_length_b 3.044
_cell_length_c 5.116
_cell_angle_alpha 90.00
_cell_angle_beta 103.02
_cell_angle_gamma 90.00
loop_
_space_group_symop_operation_xyz
'x,y,z'
'-x,-y,-z'
'-x,y,-z'
'x,-y,z'
'x+1/2,y+1/2,z'
'-x+1/2,-y+1/2,-z'
'-x+1/2,y+1/2,-z'
'x+1/2,-y+1/2,z'
loop_
_atom_site_label
_atom_site_fract_x
_atom_site_fract_y
_atom_site_fract_z
Mg1 0.000 0.000 0.000
Sc1 0.000 0.500 0.500
Mn1 0.249 0.500 0.261

---

# 5
# Tb6Pr3HoTm2, optimized geometry, DFT GGA-PBE
# * magnetic moment: 0.0 Bohr magnetons per cell
# * formation enthalpy at 0 K: 0.0211 eV/atom
# * crystal system: monoclinic
data_Tb6Pr3HoTm2
_space_group_name_H-M_alt 'C 1 2/m 1'
_space_group_IT_number 12
_cell_length_a 6.212
_cell_length_b 10.758
_cell_length_c 11.870
_cell_angle_alpha 90.00
_cell_angle_beta 100.04
_cell_angle_gamma 90.00
loop_
_space_group_symop_operation_xyz
'x,y,z'
'-x,-y,-z'
'-x,y,-z'
'x,-y,z'
'x+1/2,y+1/2,z'
'-x+1/2,-y+1/2,-z'
'-x+1/2,y+1/2,-z'
'x+1/2,-y+1/2,z'
loop_
_atom_site_label
_atom_site_fract_x
_atom_site_fract_y
_atom_site_fract_z
Tb1 0.248 0.000 0.244
Tb2 0.248 0.333 0.244
Pr1 0.000 0.000 0.500
Pr2 0.000 0.333 0.500
Ho1 0.000 0.500 0.000
Tm1 0.000 0.167 0.000

---

# 6
# RbCuPSe4, optimized geometry, DFT GGA-PBE
# * magnetic moment: 0.0 Bohr magnetons per cell
# * DFT total energy: -3.8309 eV per atom
# * crystal system: monoclinic
data_RbCuPSe4
_space_group_name_H-M_alt 'P 1 21/m 1'
_space_group_IT_number 11
_cell_length_a 6.394
_cell_length_b 6.846
_cell_length_c 9.387
_cell_angle_alpha 90.00
_cell_angle_beta 107.56
_cell_angle_gamma 90.00
loop_
_space_group_symop_operation_xyz
'x,y,z'
'-x,-y,-z'
'-x,y+1/2,-z'
'x,-y+1/2,z'
loop_
_atom_site_label
_atom_site_fract_x
_atom_site_fract_y
_atom_site_fract_z
Rb1 0.244 0.250 0.095
Cu1 0.121 0.750 0.484
P1 0.384 0.250 0.702
Se1 0.133 0.007 0.687
Se2 0.355 0.750 0.087
Se3 0.490 0.250 0.497

---

# 7
# CrAgBiIr2, optimized geometry, DFT GGA-PBE
# * magnetic moment: 0.6 Bohr magnetons per cell
# * formation enthalpy at 0 K: 1.9201 eV/atom
# * crystal system: tetragonal
data_CrAgBiIr2
_space_group_name_H-M_alt 'P 4/m m m'
_space_group_IT_number 123
_space_group_name_Hall '-P 4 2'
_cell_length_a 4.915
_cell_length_b 4.915
_cell_length_c 4.536
_cell_angle_alpha 90.00
_cell_angle_beta 90.00
_cell_angle_gamma 90.00
loop_
_atom_site_label
_atom_site_fract_x
_atom_site_fract_y
_atom_site_fract_z
Cr1 0.000 0.000 0.000
Ag1 0.000 0.000 0.500
Bi1 0.500 0.500 0.000
Ir1 0.000 0.500 0.500

---

# 8
# LiMgTa2, optimized geometry, DFT GGA-PBE
# * magnetic moment: 0.0 Bohr magnetons per cell
# * formation enthalpy at 0 K: 0.3637 eV/atom
# * crystal system: tetragonal
data_LiMgTa2
_space_group_name_H-M_alt 'P 4 m m'
_space_group_IT_number 99
_cell_length_a 3.421
_cell_length_b 3.421
_cell_length_c 6.546
_cell_angle_alpha 90.00
_cell_angle_beta 90.00
_cell_angle_gamma 90.00
loop_
_space_group_symop_operation_xyz
'x,y,z'
'-y,x,z'
'-x,-y,z'
'y,-x,z'
'-x,y,z'
'y,x,z'
'x,-y,z'
'-y,-x,z'
loop_
_atom_site_label
_atom_site_fract_x
_atom_site_fract_y
_atom_site_fract_z
Li1 0.000 0.000 0.000
Mg1 0.500 0.500 0.254
Ta1 0.000 0.000 0.538
Ta2 0.500 0.500 0.731